Entry 1:
# Al2InSbTe, relaxed, DFT PBE-GGA
# **E above lowest polymorph**: 0 meV per atom
# **DOS(E_F)**: 2.80 states/eV/f.u.
# **Raw formation energy**: 0.5581 eV per atom
data_Al2InSbTe
_chemical_formula_sum 'Al2 In1 Sb1 Te1'
_space_group_name_H-M_alt 'P 1'
_space_group_IT_number 1
_space_group_name_Hall 'P 1'
_cell_length_a 5.374
_cell_length_b 5.953
_cell_length_c 5.374
_cell_angle_alpha 90.00
_cell_angle_beta 90.00
_cell_angle_gamma 90.00
loop_
_atom_site_label
_atom_site_type_symbol
_atom_site_fract_x
_atom_site_fract_y
_atom_site_fract_z
In1 In 0.500 0.500 0.500
Te1 Te 0.000 0.500 0.000
Al1 Al 0.500 0.000 0.000
Al2 Al 0.000 0.000 0.500
Sb1 Sb 0.000 0.000 0.000

---

Entry 2:
# HfNb3B, relaxed, DFT PBE-GGA
# **E above lowest polymorph**: 2494 meV per atom
# **DOS(E_F)**: 5.50 states/eV/f.u.
data_HfNb3B
_chemical_formula_sum 'Hf1 Nb3 B1'
_space_group_name_H-M_alt 'P 1'
_space_group_IT_number 1
_space_group_name_Hall 'P 1'
_cell_length_a 4.868
_cell_length_b 4.868
_cell_length_c 4.868
_cell_angle_alpha 90.00
_cell_angle_beta 90.00
_cell_angle_gamma 90.00
loop_
_atom_site_label
_atom_site_type_symbol
_atom_site_fract_x
_atom_site_fract_y
_atom_site_fract_z
Hf1 Hf 0.000 0.000 0.000
Nb1 Nb 0.000 0.500 0.000
Nb2 Nb 0.500 0.000 0.000
Nb3 Nb 0.000 0.000 0.500
B1 B 0.500 0.500 0.500

---

Entry 3:
# ZrSc3Os, relaxed, DFT PBE-GGA
# **E above lowest polymorph**: 1629 meV per atom
# **DOS(E_F)**: 6.27 states/eV/f.u.
data_ZrSc3Os
_chemical_formula_sum 'Zr1 Sc3 Os1'
_space_group_name_H-M_alt 'P 1'
_space_group_IT_number 1
_space_group_name_Hall 'P 1'
_cell_length_a 4.848
_cell_length_b 4.848
_cell_length_c 4.848
_cell_angle_alpha 90.00
_cell_angle_beta 90.00
_cell_angle_gamma 90.00
loop_
_atom_site_label
_atom_site_type_symbol
_atom_site_fract_x
_atom_site_fract_y
_atom_site_fract_z
Sc1 Sc 0.000 0.500 0.000
Sc2 Sc 0.000 0.000 0.500
Sc3 Sc 0.500 0.000 0.000
Os1 Os 0.500 0.500 0.500
Zr1 Zr 0.000 0.000 0.000

---

Entry 4:
# Nd7PbS5, relaxed, DFT PBE-GGA
# **DOS(E_F)**: 8.05 states/eV/f.u.
# **Raw formation energy**: -1.6616 eV per atom
data_Nd7PbS5
_chemical_formula_sum 'Nd14 Pb2 S10'
_space_group_name_H-M_alt 'P 1'
_space_group_IT_number 1
_space_group_name_Hall 'P 1'
_cell_length_a 4.134
_cell_length_b 7.041
_cell_length_c 24.525
_cell_angle_alpha 89.99
_cell_angle_beta 90.00
_cell_angle_gamma 107.09
loop_
_atom_site_label
_atom_site_type_symbol
_atom_site_fract_x
_atom_site_fract_y
_atom_site_fract_z
S1 S 0.000 0.001 0.000
S2 S 0.544 0.087 0.360
S3 S 0.274 0.547 0.431
S4 S 0.457 0.914 0.860
S5 S 0.727 0.454 0.931
S6 S 0.000 0.001 0.500
S7 S 0.274 0.547 0.069
S8 S 0.543 0.087 0.140
S9 S 0.457 0.914 0.640
S10 S 0.727 0.454 0.569
Nd1 Nd 0.909 0.817 0.391
Nd2 Nd 0.176 0.352 0.171
Nd3 Nd 0.481 0.963 0.250
Nd4 Nd 0.176 0.352 0.329
Nd5 Nd 0.092 0.184 0.609
Nd6 Nd 0.092 0.184 0.891
Nd7 Nd 0.365 0.729 0.963
Nd8 Nd 0.825 0.649 0.671
Nd9 Nd 0.636 0.272 0.463
Nd10 Nd 0.909 0.817 0.109
Nd11 Nd 0.825 0.650 0.829
Nd12 Nd 0.365 0.729 0.537
Nd13 Nd 0.519 0.038 0.750
Nd14 Nd 0.636 0.272 0.037
Pb1 Pb 0.800 0.600 0.250
Pb2 Pb 0.200 0.401 0.750

---

Entry 5:
# CaTl2In2, relaxed, DFT PBE-GGA
# **E above lowest polymorph**: 36 meV per atom
# **DOS(E_F)**: 3.18 states/eV/f.u.
data_CaTl2In2
_chemical_formula_sum 'Ca2 Tl4 In4'
_space_group_name_H-M_alt 'P 1'
_space_group_IT_number 1
_space_group_name_Hall 'P 1'
_cell_length_a 8.551
_cell_length_b 8.551
_cell_length_c 4.077
_cell_angle_alpha 90.00
_cell_angle_beta 90.00
_cell_angle_gamma 90.00
loop_
_atom_site_label
_atom_site_type_symbol
_atom_site_fract_x
_atom_site_fract_y
_atom_site_fract_z
Tl1 Tl 0.174 0.674 0.500
Tl2 Tl 0.826 0.326 0.500
Tl3 Tl 0.326 0.174 0.500
Tl4 Tl 0.674 0.826 0.500
In1 In 0.126 0.374 0.000
In2 In 0.874 0.626 0.000
In3 In 0.626 0.126 0.000
In4 In 0.374 0.874 0.000
Ca1 Ca 0.000 0.000 0.000
Ca2 Ca 0.500 0.500 0.000

---

Entry 6:
# AsCS2, relaxed, DFT PBE-GGA
# **E above lowest polymorph**: 130 meV per atom
# **DOS(E_F)**: 0.20 states/eV/f.u.
# **Raw formation energy**: 0.6213 eV per atom
data_AsCS2
_chemical_formula_sum 'As1 C1 S2'
_space_group_name_H-M_alt 'P 1'
_space_group_IT_number 1
_space_group_name_Hall 'P 1'
_cell_length_a 3.014
_cell_length_b 4.058
_cell_length_c 7.365
_cell_angle_alpha 90.00
_cell_angle_beta 101.59
_cell_angle_gamma 90.00
loop_
_atom_site_label
_atom_site_type_symbol
_atom_site_fract_x
_atom_site_fract_y
_atom_site_fract_z
As1 As 0.687 0.000 0.766
C1 C 0.626 0.500 0.640
S1 S 0.049 0.500 0.483
S2 S 0.299 0.000 0.993

---

Entry 7:
# Tl2AgF3, relaxed, DFT PBE-GGA
# **E above lowest polymorph**: 0 meV per atom
# **DOS(E_F)**: 0.00 states/eV/f.u.
# **Raw formation energy**: -1.4808 eV per atom
data_Tl2AgF3
_chemical_formula_sum 'Tl4 Ag2 F6'
_space_group_name_H-M_alt 'P 1'
_space_group_IT_number 1
_space_group_name_Hall 'P 1'
_cell_length_a 6.808
_cell_length_b 6.808
_cell_length_c 6.673
_cell_angle_alpha 71.99
_cell_angle_beta 71.99
_cell_angle_gamma 64.17
loop_
_atom_site_label
_atom_site_type_symbol
_atom_site_fract_x
_atom_site_fract_y
_atom_site_fract_z
Ag1 Ag 0.035 0.965 0.250
Ag2 Ag 0.965 0.035 0.750
Tl1 Tl 0.516 0.194 0.174
Tl2 Tl 0.194 0.516 0.674
Tl3 Tl 0.806 0.484 0.326
Tl4 Tl 0.484 0.806 0.826
F1 F 0.795 0.815 0.961
F2 F 0.205 0.185 0.039
F3 F 0.185 0.205 0.539
F4 F 0.815 0.795 0.461
F5 F 0.617 0.383 0.750
F6 F 0.383 0.617 0.250

---

Entry 8:
# AcCePmPu, relaxed, DFT PBE-GGA
# **E_tot**: -7.002 eV per atom
# **DOS(E_F)**: 14.54 states/eV/f.u.
data_AcCePmPu
_chemical_formula_sum 'Ac1 Ce1 Pm1 Pu1'
_space_group_name_H-M_alt 'P 1'
_space_group_IT_number 1
_space_group_name_Hall 'P 1'
_cell_length_a 5.768
_cell_length_b 5.768
_cell_length_c 5.768
_cell_angle_alpha 60.00
_cell_angle_beta 60.00
_cell_angle_gamma 60.00
loop_
_atom_site_label
_atom_site_type_symbol
_atom_site_fract_x
_atom_site_fract_y
_atom_site_fract_z
Pm1 Pm 0.500 0.500 0.500
Ce1 Ce 0.000 0.000 0.000
Pu1 Pu 0.750 0.750 0.750
Ac1 Ac 0.250 0.250 0.250